Entry 1:
A relaxed PaZn2Ni4 crystal. Source: Alexandria via LeMat-Bulk, functional PBE.

a = 5.6653 Å, b = 5.6653 Å, c = 5.6653 Å
α = 100.08°, β = 100.08°, γ = 130.53°
Fractional positions:
Pa: 0.0000 0.0000 0.0000
Ni: 0.5000 0.7193 0.2193
Ni: 0.2807 0.5000 0.7807
Ni: 0.5000 0.2807 0.7807
Ni: 0.7193 0.5000 0.2193
Zn: 0.2500 0.7500 0.5000
Zn: 0.7500 0.2500 0.5000

Space group   I4/mmm (139)
Energy above the lowest structure with this stoichiometry   729 meV per atom

=====

Entry 2:
A relaxed Pa3Zn5Ni2 crystal. Source: Alexandria via LeMat-Bulk, functional PBE.

a = 6.2048 Å, b = 8.3140 Å, c = 8.3140 Å
α = 73.73°, β = 68.09°, γ = 68.09°
Fractional positions:
Zn: 0.4817 0.2683 0.2683
Zn: 0.5183 0.7317 0.7317
Zn: 0.2500 0.5000 0.5000
Zn: 0.3927 0.7543 0.4603
Zn: 0.0183 0.7317 0.7317
Zn: 0.6073 0.2457 0.5397
Zn: 0.7500 0.5000 0.5000
Zn: 0.8927 0.4603 0.7543
Zn: 0.9817 0.2683 0.2683
Zn: 0.1073 0.5397 0.2457
Pa: 0.1396 0.1054 0.6153
Pa: 0.3604 0.3846 0.8946
Pa: 0.8604 0.8946 0.3846
Pa: 0.7500 0.0000 0.0000
Pa: 0.6396 0.6153 0.1054
Pa: 0.2500 0.0000 0.0000
Ni: 0.3513 0.0230 0.2743
Ni: 0.8513 0.2743 0.0230
Ni: 0.6487 0.9770 0.7257
Ni: 0.1487 0.7257 0.9770

DFT total energy   -4.7297 eV per atom
Space group   Ibam (72)

=====

Entry 3:
A relaxed PaZn12Ni6 crystal. Source: Alexandria via LeMat-Bulk, functional PBE.

a = 6.8338 Å, b = 6.8338 Å, c = 6.8338 Å
α = 104.32°, β = 104.32°, γ = 104.32°
Fractional positions:
Zn: 0.8865 0.5000 0.1135
Zn: 0.1135 0.5000 0.8865
Zn: 0.4058 0.1469 0.4058
Zn: 0.5000 0.8865 0.1135
Zn: 0.5000 0.1135 0.8865
Zn: 0.4058 0.4058 0.1469
Zn: 0.5942 0.5942 0.8531
Zn: 0.1135 0.8865 0.5000
Zn: 0.1469 0.4058 0.4058
Zn: 0.5942 0.8531 0.5942
Zn: 0.8865 0.1135 0.5000
Zn: 0.8531 0.5942 0.5942
Pa: 0.0000 0.0000 0.0000
Ni: 0.2726 0.7058 0.2726
Ni: 0.7058 0.2726 0.2726
Ni: 0.2726 0.2726 0.7058
Ni: 0.7274 0.7274 0.2942
Ni: 0.7274 0.2942 0.7274
Ni: 0.2942 0.7274 0.7274

DFT total energy   -3.1615 eV per atom
Space group   R-3m (166)

=====

Entry 4:
A relaxed Pa2Zn6Ni9 crystal. Source: Alexandria via LeMat-Bulk, functional PBE.

a = 5.0339 Å, b = 5.0339 Å, c = 11.9886 Å
α = 90.00°, β = 90.00°, γ = 120.00°
Fractional positions:
Zn: 0.3333 0.6667 0.6610
Zn: 0.6667 0.3333 0.6610
Zn: 0.6667 0.3333 0.3390
Zn: 0.3333 0.6667 0.0000
Zn: 0.6667 0.3333 0.0000
Zn: 0.3333 0.6667 0.3390
Ni: 0.5000 0.0000 0.5000
Ni: 0.5000 0.0000 0.8316
Ni: 0.0000 0.5000 0.1684
Ni: 0.0000 0.5000 0.8316
Ni: 0.5000 0.5000 0.1684
Ni: 0.5000 0.0000 0.1684
Ni: 0.0000 0.5000 0.5000
Ni: 0.5000 0.5000 0.5000
Ni: 0.5000 0.5000 0.8316
Pa: 0.0000 0.0000 0.2679
Pa: 0.0000 0.0000 0.7321

DFT total energy   -4.7606 eV per atom
Space group   P6/mmm (191)